1.
DFT (PBE) results for a geometry-optimized Nb5VS4 structure.

Cell: 3.2526 7.1493 7.5614 Å, 101.32 102.42 90.00°
Each line ends with the local moment (μB).
Fractional positions:
Nb (0.1688, 0.3621, 0.3377)  -0.01
Nb (0.1710, 0.7484, 0.3420)  0.11
Nb (0.8290, 0.2516, 0.6580)  0.11
Nb (0.5000, 0.5000, 0.0000)  0.08
Nb (0.8312, 0.6379, 0.6623)  -0.01
V (0.5000, 0.0000, 0.0000)  2.05
S (0.6685, 0.0743, 0.3371)  0.00
S (0.9947, 0.2398, 0.9894)  -0.01
S (0.3315, 0.9257, 0.6629)  0.00
S (0.0053, 0.7602, 0.0106)  -0.01

Properties
SG   C2/m, No. 12
Total DFT energy (no corrections)   -80.81 eV for the cell shown

2.
DFT (PBE) results for a geometry-optimized PrSmEr2Sb4 structure.

Cell: 4.4395 7.6733 7.6842 Å, 70.49 90.00 90.00°
Fractional positions:
Pr (0.5000, 0.5000, 0.0000)
Sm (0.0000, 0.5000, 0.5000)
Er (0.0000, 0.0000, 0.0000)
Er (0.5000, 0.0000, 0.5000)
Sb (0.0000, 0.7614, 0.7438)
Sb (0.0000, 0.2386, 0.2562)
Sb (0.5000, 0.7597, 0.2492)
Sb (0.5000, 0.2403, 0.7508)

Properties
SG   P2/m, No. 10
Total DFT energy (no corrections)   -44.19 eV for the cell shown

| no. | spin magnetization (Bohr magnetons per cell) |
| --- | --- |
| 1 | 2.63 |
| 2 | 0.00 |